Density functional theory data (PBE) for a relaxed structure of CuAg2Br.

Computed properties:
ΔE_f (raw)   0.3646 eV/atom
Crystal system   cubic
Energy above the most stable polymorph in this dataset   0.329 eV/atom

Cell lengths 6.749, 6.749, 6.749 Å; angles 90.00, 90.00, 90.00 degrees
Space group Fm-3m (No. 225)
Inequivalent atoms, fractional coordinates:
Cu (0.000, 0.000, 0.000) [4 per cell]
Ag (0.250, 0.250, 0.250) [8 per cell]
Br (0.000, 0.000, 0.500) [4 per cell]

Density functional theory data (PBE) for a relaxed structure of La5DyEr2Tm.

Computed properties:
Crystal system   orthorhombic
Calculated total energy   -4.631 eV per atom

Cell lengths 5.495, 21.644, 10.628 Å; angles 90.00, 90.00, 90.00 degrees
Space group Cmc2_1 (No. 36)
Inequivalent atoms, fractional coordinates:
La (0.000, 0.000, 0.000) [4 per cell]
La (0.000, 0.124, 0.250) [4 per cell]
La (0.000, 0.220, 0.561) [4 per cell]
La (0.000, 0.220, 0.941) [4 per cell]
La (0.000, 0.497, 0.250) [4 per cell]
Dy (0.000, 0.292, 0.251) [4 per cell]
Er (0.000, 0.387, 0.503) [4 per cell]
Er (0.000, 0.387, 0.998) [4 per cell]
Tm (0.000, 0.100, 0.750) [4 per cell]

Density functional theory data (PBE) for a relaxed structure of Na2AcDySe4.

Computed properties:
ΔE_f (raw)   -1.6969 eV/atom
Crystal system   monoclinic

Cell lengths 7.455, 4.332, 7.525 Å; angles 90.00, 109.69, 90.00 degrees
Space group P2/m (No. 10)
Inequivalent atoms, fractional coordinates:
Na (0.000, 0.000, 0.000) [1 per cell]
Na (0.000, 0.500, 0.500) [1 per cell]
Ac (0.500, 0.000, 0.500) [1 per cell]
Dy (0.500, 0.500, 0.000) [1 per cell]
Se (0.260, 0.500, 0.235) [2 per cell]
Se (0.268, 0.000, 0.772) [2 per cell]

Density functional theory data (PBE) for a relaxed structure of Ca4Pu3FeN8.

Computed properties:
ΔE_f (raw)   -0.9240 eV/atom
Crystal system   trigonal

Cell lengths 6.7414, 6.7414, 16.8838 Å; angles 90.00, 90.00, 120.00 degrees
Space group R-3m (No. 166, hexagonal axes)
Inequivalent atoms, fractional coordinates:
Ca (0.0000, 0.0000, 0.0000) [3 per cell]
Ca (0.0000, 0.5000, 0.0000) [9 per cell]
Pu (0.0000, 0.5000, 0.5000) [9 per cell]
Fe (0.0000, 0.0000, 0.5000) [3 per cell]
N (0.0000, 0.0000, 0.2398) [6 per cell]
N (0.0006, 0.5003, 0.2378) [18 per cell]

Density functional theory data (PBE) for a relaxed structure of K3Mg2OsO6.

Computed properties:
ΔE_f (raw)   -1.7282 eV/atom
Crystal system   monoclinic

Cell lengths 5.505, 9.540, 6.318 Å; angles 90.00, 106.88, 90.00 degrees
Space group C2/m (No. 12)
Inequivalent atoms, fractional coordinates:
K (0.000, 0.000, 0.000) [2 per cell]
K (0.000, 0.330, 0.000) [4 per cell]
Mg (0.000, 0.166, 0.500) [4 per cell]
Os (0.000, 0.500, 0.500) [2 per cell]
O (0.216, 0.343, 0.675) [8 per cell]
O (0.246, 0.000, 0.677) [4 per cell]

Density functional theory data (PBE) for a relaxed structure of ZrCdF2.

Computed properties:
ΔE_f (raw)   -1.9784 eV/atom
Crystal system   trigonal
Energy above the most stable polymorph in this dataset   0.000 eV/atom

Cell lengths 2.9222, 2.9222, 25.3278 Å; angles 90.00, 90.00, 120.00 degrees
Space group R-3m (No. 166, hexagonal axes)
Inequivalent atoms, fractional coordinates:
Zr (0.0000, 0.0000, 0.0000) [3 per cell]
Cd (0.0000, 0.0000, 0.5000) [3 per cell]
F (0.0000, 0.0000, 0.3944) [6 per cell]

Density functional theory data (PBE) for a relaxed structure of MgTaPt2.

Computed properties:
Crystal system   trigonal
Calculated total energy   -6.672 eV per atom

Cell lengths 2.8760, 2.8760, 28.2230 Å; angles 90.00, 90.00, 120.00 degrees
Space group R3m (No. 160, hexagonal axes)
Inequivalent atoms, fractional coordinates:
Mg (0.0000, 0.0000, 0.0000) [3 per cell]
Ta (0.0000, 0.0000, 0.2400) [3 per cell]
Pt (0.0000, 0.0000, 0.4948) [3 per cell]
Pt (0.0000, 0.0000, 0.7420) [3 per cell]

Density functional theory data (PBE) for a relaxed structure of HfSnTe2N.

Computed properties:
ΔE_f (raw)   -0.1407 eV/atom
Crystal system   tetragonal
Energy above the most stable polymorph in this dataset   0.000 eV/atom

Cell lengths 5.779, 5.779, 4.012 Å; angles 90.00, 90.00, 90.00 degrees
Space group P4/mmm (No. 123)
Inequivalent atoms, fractional coordinates:
Hf (0.000, 0.000, 0.000) [1 per cell]
Sn (0.500, 0.500, 0.500) [1 per cell]
Te (0.000, 0.500, 0.000) [2 per cell]
N (0.000, 0.000, 0.500) [1 per cell]

Density functional theory data (PBE) for a relaxed structure of ThPa2Pb9.

Computed properties:
Crystal system   tetragonal
Calculated total energy   -5.065 eV per atom

Cell lengths 4.841, 4.841, 14.548 Å; angles 90.00, 90.00, 90.00 degrees
Space group P4/mmm (No. 123)
Inequivalent atoms, fractional coordinates:
Th (0.000, 0.000, 0.000) [1 per cell]
Pa (0.000, 0.000, 0.337) [2 per cell]
Pb (0.000, 0.500, 0.171) [4 per cell]
Pb (0.000, 0.500, 0.500) [2 per cell]
Pb (0.500, 0.500, 0.000) [1 per cell]
Pb (0.500, 0.500, 0.335) [2 per cell]

Density functional theory data (PBE) for a relaxed structure of MoIr2Ru.

Computed properties:
Crystal system   tetragonal
Energy above the most stable polymorph in this dataset   0.439 eV/atom

Cell lengths 3.322, 3.322, 5.468 Å; angles 90.00, 90.00, 90.00 degrees
Space group P4/mmm (No. 123)
Inequivalent atoms, fractional coordinates:
Mo (0.000, 0.000, 0.000) [1 per cell]
Ir (0.500, 0.500, 0.255) [2 per cell]
Ru (0.000, 0.000, 0.500) [1 per cell]

Density functional theory data (PBE) for a relaxed structure of Ca4LaRe.

Computed properties:
Crystal system   cubic
Calculated total energy   -3.194 eV per atom

Cell lengths 9.133, 9.133, 9.133 Å; angles 90.00, 90.00, 90.00 degrees
Space group F-43m (No. 216)
Inequivalent atoms, fractional coordinates:
Ca (0.123, 0.123, 0.377) [16 per cell]
La (0.000, 0.000, 0.000) [4 per cell]
Re (0.250, 0.250, 0.750) [4 per cell]

Density functional theory data (PBE) for a relaxed structure of AsIrAu2.

Computed properties:
Crystal system   orthorhombic
Calculated total energy   -4.821 eV per atom

Cell lengths 2.955, 4.666, 10.792 Å; angles 90.00, 90.00, 90.00 degrees
Space group Imm2 (No. 44)
Inequivalent atoms, fractional coordinates:
As (0.000, 0.000, 0.000) [2 per cell]
Ir (0.000, 0.500, 0.321) [2 per cell]
Au (0.000, 0.000, 0.595) [2 per cell]
Au (0.000, 0.500, 0.801) [2 per cell]